1.
BePbBr2: relaxed, PBE.

Unit cell a=6.9728 b=6.9728 c=9.5382 alpha=90.00 beta=90.00 gamma=90.00
Last column: nearest neighbours and their distance in Å.
Space group I-42d (No. 122)
One atom of each set of equivalent atoms:
Be 0.0000 0.0000 0.0000 x4  4 Br 2.20
Pb 0.0000 0.0000 0.5000 x4  4 Br 3.56
Br 0.0897 0.2500 0.1250 x8  2 Be 2.20

Results
Volume   464 Å³ per cell
ΔE_f (raw)   -41 kJ/mol of formula units
M_tot   0.0 μB/f.u.
Energy above the lowest structure with this stoichiometry   0.320 eV/atom
Calculated total energy   -2.80 eV per atom

***

2.
Tl3ZnO4: relaxed, PBE.

Unit cell a=5.3238 b=5.3238 c=10.2345 alpha=90.00 beta=90.00 gamma=90.00
Last column: nearest neighbours and their distance in Å.
Space group I-42m (No. 121)
One atom of each set of equivalent atoms:
Tl 0.0000 0.0000 0.0000 x2  4 O 2.50
Tl 0.0000 0.5000 0.2500 x4  4 O 2.31
Zn 0.0000 0.0000 0.5000 x2  4 O 2.02
O 0.2118 0.2118 0.3784 x8  1 Zn 2.02

Results
Volume   290 Å³ per cell
ΔE_f (raw)   -563 kJ/mol of formula units
M_tot   0.0 μB/f.u.
Calculated total energy   -4.26 eV per atom

***

3.
BaPd2I: relaxed, PBE.

Unit cell a=7.4386 b=7.4386 c=7.4386 alpha=90.00 beta=90.00 gamma=90.00
Last column: nearest neighbours and their distance in Å.
Space group Fm-3m (No. 225)
One atom of each set of equivalent atoms:
Ba 0.0000 0.0000 0.0000 x4  8 Pd 3.22
Pd 0.2500 0.2500 0.2500 x8  4 Ba 3.22, 4 I 3.22
I 0.0000 0.0000 0.5000 x4  8 Pd 3.22

Results
Volume   412 Å³ per cell
ΔE_f (raw)   -87 kJ/mol of formula units
M_tot   0.0 μB/f.u.
Energy above the lowest structure with this stoichiometry   0.147 eV/atom
Calculated total energy   -3.69 eV per atom

***

4.
Rb4FeSbCl12: relaxed, PBE.

Unit cell a=7.2260 b=7.2260 c=10.3819 alpha=90.00 beta=90.00 gamma=90.00
Last column: nearest neighbours and their distance in Å.
Space group P4/mmm (No. 123)
One atom of each set of equivalent atoms:
Rb 0.0000 0.5000 0.2327 x4  12 Cl 3.53-3.77
Fe 0.0000 0.0000 0.0000 x1  6 Cl 2.27-2.28
Sb 0.5000 0.5000 0.5000 x1  6 Cl 2.50-2.52
Cl 0.0000 0.0000 0.2186 x2  1 Fe 2.27
Cl 0.2232 0.2232 0.0000 x4  1 Fe 2.28
Cl 0.2554 0.2554 0.5000 x4  1 Sb 2.50
Cl 0.5000 0.5000 0.2573 x2  1 Sb 2.52

Results
Volume   542 Å³ per cell
ΔE_f (raw)   -2243 kJ/mol of formula units
M_tot   1.7 μB/f.u.
Calculated total energy   -3.44 eV per atom

***

5.
BaInRu3: relaxed, PBE.

Unit cell a=5.0980 b=5.0980 c=5.0980 alpha=90.00 beta=90.00 gamma=90.00
Last column: nearest neighbours and their distance in Å.
Space group Pm-3m (No. 221)
One atom of each set of equivalent atoms:
Ba 0.0000 0.0000 0.0000 x1  6 Ru 2.55
In 0.5000 0.5000 0.5000 x1  12 Ru 3.60
Ru 0.0000 0.0000 0.5000 x3  2 Ba 2.55

Results
Volume   132 Å³ per cell
Energy relative to the elements   229.6 kJ/mol of atoms
M_tot   4.6 μB/f.u.
Energy above the lowest structure with this stoichiometry   1.020 eV/atom
Calculated total energy   -4.12 eV per atom

***

6.
ErTl2IrO8: relaxed, PBE.

Unit cell a=5.0457 b=6.6914 c=5.0976 alpha=90.00 beta=91.62 gamma=90.00
Last column: nearest neighbours and their distance in Å.
Space group P2/m (No. 10)
One atom of each set of equivalent atoms:
Er 0.0000 0.0000 0.0000 x1  6 O 2.14-2.31
Tl 0.5000 0.2507 0.5000 x2  6 O 2.18-2.36
Ir 0.0000 0.5000 0.0000 x1  6 O 1.93-1.94
O 0.1871 0.2858 0.8330 x4  1 Ir 1.93
O 0.2625 0.5000 0.2860 x2  1 Ir 1.94
O 0.2913 0.0000 0.3141 x2  1 Er 2.14, 2 Tl 2.18

Results
Volume   172 Å³ per cell
ΔE_f (raw)   -1293 kJ/mol of formula units
M_tot   1.5 μB/f.u.
Calculated total energy   -5.94 eV per atom